1.
This record from the Alexandria database describes crystalline ZnFePtW2 at its relaxed geometry. The functional is GGA-PBE.

Cell and atoms, written as POSCAR:
```
ZnFePtW2
1.0
4.8056 0.0000 0.0000
0.0000 4.8056 0.0000
0.0000 0.0000 4.5446
Zn Fe Pt W
1 1 1 2
direct
0.0000 0.0000 0.0000
0.5000 0.5000 0.0000
0.0000 0.0000 0.5000
0.0000 0.5000 0.5000
0.5000 0.0000 0.5000
```

Calculated values
Calculated formation energy in eV/atom: 2.06
Raw total energy in eV/atom: -6.274
Space group: P4/mmm
Crystal system: tetragonal

2.
This record from the Alexandria database describes crystalline ZrFePt2W at its relaxed geometry. The functional is GGA-PBE.

Cell and atoms, written as POSCAR:
```
ZrFePt2W
1.0
4.6382 0.0000 0.0000
0.0000 4.6382 0.0000
0.0000 0.0000 4.3577
Zr Fe Pt W
1 1 2 1
direct
0.0000 0.0000 0.0000
0.5000 0.5000 0.5000
0.0000 0.5000 0.5000
0.5000 0.0000 0.5000
0.5000 0.5000 0.0000
```

Calculated values
Calculated formation energy in eV/atom: 0.56
Raw total energy in eV/atom: -7.848
Space group: P4/mmm
Crystal system: tetragonal

3.
This record from the Alexandria database describes crystalline YFePt2 at its relaxed geometry. The functional is GGA-PBE.

Cell and atoms, written as POSCAR:
```
YFePt2
1.0
2.1774 1.2571 4.6827
-2.1774 1.2571 4.6827
0.0000 -2.5142 4.6827
Y Fe Pt
1 1 2
direct
0.0000 0.0000 0.0000
0.5000 0.5000 0.5000
0.2099 0.2099 0.2099
0.7901 0.7901 0.7901
```

Calculated values
Calculated formation energy in eV/atom: -0.67
Raw total energy in eV/atom: -7.418
Space group: R-3m
Crystal system: trigonal

4.
This record from the Alexandria database describes crystalline YFePt4 at its relaxed geometry. The functional is GGA-PBE.

Cell and atoms, written as POSCAR:
```
YFePt4
1.0
7.6656 0.0000 0.0000
0.0000 3.9807 0.0000
0.0000 0.0000 6.8460
Y Fe Pt
2 2 8
direct
0.2500 0.0000 0.1439
0.7500 0.0000 0.8561
0.2500 0.0000 0.7325
0.7500 0.0000 0.2675
0.0000 0.0000 0.5000
0.0514 0.5000 0.8125
0.2500 0.5000 0.4646
0.4486 0.5000 0.8125
0.5000 0.0000 0.5000
0.5514 0.5000 0.1875
0.7500 0.5000 0.5354
0.9486 0.5000 0.1875
```

Calculated values
Calculated formation energy in eV/atom: -0.57
Raw total energy in eV/atom: -7.081
Space group: Pmma
Crystal system: orthorhombic
Energy relative to the lowest polymorph listed for this composition in meV/atom: 0

5.
This record from the Alexandria database describes crystalline YFePt4 at its relaxed geometry. The functional is GGA-PBE.

Cell and atoms, written as POSCAR:
```
YFePt4
1.0
0.0000 3.7662 3.7662
3.7662 0.0000 3.7662
3.7662 3.7662 0.0000
Y Fe Pt
1 1 4
direct
0.0000 0.0000 0.0000
0.7500 0.7500 0.7500
0.3756 0.3756 0.3756
0.3756 0.3756 0.8732
0.3756 0.8732 0.3756
0.8732 0.3756 0.3756
```

Calculated values
Calculated formation energy in eV/atom: -0.51
Raw total energy in eV/atom: -7.029
Space group: F-43m
Crystal system: cubic
Energy relative to the lowest polymorph listed for this composition in meV/atom: 52

6.
This record from the Alexandria database describes crystalline YFePt2 at its relaxed geometry. The functional is GGA-PBE.

Cell and atoms, written as POSCAR:
```
YFePt2
1.0
0.0000 3.2689 3.2689
3.2689 0.0000 3.2689
3.2689 3.2689 0.0000
Y Fe Pt
1 1 2
direct
0.0000 0.0000 0.0000
0.7500 0.7500 0.7500
0.2500 0.2500 0.2500
0.5000 0.5000 0.5000
```

Calculated values
Calculated formation energy in eV/atom: -0.42
Raw total energy in eV/atom: -7.169
Space group: F-43m
Crystal system: cubic

7.
This record from the Alexandria database describes crystalline YFePt at its relaxed geometry. The functional is GGA-PBE.

Cell and atoms, written as POSCAR:
```
YFePt
1.0
-1.6933 1.6933 4.9282
1.6933 -1.6933 4.9282
1.6933 1.6933 -4.9282
Y Fe Pt
1 1 1
direct
0.0000 0.0000 0.0000
0.3072 0.3072 0.0000
0.6846 0.6846 0.0000
```

Calculated values
Calculated formation energy in eV/atom: -0.35
Raw total energy in eV/atom: -7.337
Space group: I4mm
Crystal system: tetragonal

8.
This record from the Alexandria database describes crystalline YFePt at its relaxed geometry. The functional is GGA-PBE.

Cell and atoms, written as POSCAR:
```
YFePt
1.0
0.0000 3.2154 3.2154
3.2154 0.0000 3.2154
3.2154 3.2154 0.0000
Y Fe Pt
1 1 1
direct
0.0000 0.0000 0.0000
0.5000 0.5000 0.5000
0.7500 0.7500 0.7500
```

Calculated values
Calculated formation energy in eV/atom: -0.27
Raw total energy in eV/atom: -7.264
Space group: F-43m
Crystal system: cubic